Entry 1:
Ca2TlPbCl8 | PBE | relaxed

Results
Crystal system: monoclinic
ΔE_f (raw): -1.635 eV/atom

Lattice parameters (Å, degrees): 6.672 6.464 8.637 90.00 90.00 90.37
Atoms (fractional coordinates):
Cl 0.177 0.766 0.748
Cl 0.660 0.714 0.000
Cl 0.663 0.713 0.500
Cl 0.340 0.286 0.000
Cl 0.177 0.766 0.252
Cl 0.823 0.234 0.748
Cl 0.337 0.287 0.500
Cl 0.823 0.234 0.252
Pb 0.000 0.000 0.000
Ca 0.500 0.500 0.750
Ca 0.500 0.500 0.250
Tl 0.000 0.000 0.500

---

Entry 2:
LiHg2Os | PBE | relaxed

Results
Crystal system: orthorhombic
Calculated formation energy: 0.454 eV per atom

Lattice parameters (Å, degrees): 2.852 4.475 5.664 90.00 90.00 90.00
Atoms (fractional coordinates):
Os 0.500 0.500 0.766
Hg 0.000 0.000 0.953
Hg 0.500 0.500 0.281
Li 0.000 0.000 0.500

---

Entry 3:
La5NdDy2 | PBE | relaxed

Results
Crystal system: orthorhombic
Calculated formation energy: 0.031 eV per atom

Lattice parameters (Å, degrees): 3.642 11.408 9.066 128.99 101.59 90.00
Atoms (fractional coordinates):
La 0.370 0.602 0.740
La 0.630 0.398 0.260
La 0.630 0.862 0.260
La 0.370 0.138 0.740
La 0.000 0.500 0.000
Nd 0.000 0.000 0.000
Dy 0.257 0.757 0.515
Dy 0.743 0.243 0.485

---

Entry 4:
Cu2SiSbW | PBE | relaxed

Results
Crystal system: tetragonal
ΔE_f (raw): 0.770 eV/atom

Lattice parameters (Å, degrees): 4.371 4.785 4.371 90.00 90.00 90.00
Last column: magnetic moment on the atom in μB.
Atoms (fractional coordinates):
Cu 0.000 0.000 0.500  0.03
Cu 0.500 0.000 0.000  0.02
Si 0.000 0.000 0.000  -0.01
W 0.000 0.500 0.000  1.09
Sb 0.500 0.500 0.500  -0.02

---

Entry 5:
ScMn2Mo | PBE | relaxed

Results
Crystal system: orthorhombic
Calculated formation energy: 0.231 eV per atom

Lattice parameters (Å, degrees): 4.927 4.927 4.927 143.15 125.09 67.97
Last column: magnetic moment on the atom in μB.
Atoms (fractional coordinates):
Mo 0.750 0.250 0.500  -0.30
Mn 0.985 0.985 0.000  0.67
Mn 0.515 0.515 0.000  0.67
Sc 0.250 0.750 0.500  -0.11

---

Entry 6:
La2Ce4Ge3Cl2 | PBE | relaxed

Results
Crystal system: tetragonal
ΔE_f (raw): -0.747 eV/atom

Lattice parameters (Å, degrees): 5.208 5.208 12.061 102.47 102.47 90.00
Last column: magnetic moment on the atom in μB.
Atoms (fractional coordinates):
Ge 0.000 0.000 0.000  -0.03
Ge 0.164 0.164 0.329  -0.01
Ge 0.836 0.836 0.671  -0.01
Cl 0.571 0.571 0.143  -0.01
Cl 0.429 0.429 0.857  -0.01
La 0.298 0.298 0.596  0.01
La 0.702 0.702 0.404  0.01
Ce 0.086 0.586 0.171  0.51
Ce 0.586 0.086 0.171  0.51
Ce 0.414 0.914 0.829  0.51
Ce 0.914 0.414 0.829  0.51

---

Entry 7:
MnAlCl | PBE | relaxed

Results
Crystal system: trigonal
ΔE_f (raw): -0.140 eV/atom

Lattice parameters (Å, degrees): 3.148 3.148 5.820 90.00 90.00 120.00
Last column: magnetic moment on the atom in μB.
Atoms (fractional coordinates):
Al 0.000 0.000 0.972  -0.05
Mn 0.667 0.333 0.667  3.28
Cl 0.333 0.667 0.361  0.03

---

Entry 8:
B3P2 | PBE | relaxed

Results
Crystal system: monoclinic
Calculated formation energy: 0.192 eV per atom

Lattice parameters (Å, degrees): 5.046 3.182 8.324 90.00 109.75 90.00
Atoms (fractional coordinates):
B 0.624 0.500 0.179
B 0.987 0.500 0.313
B 0.987 0.000 0.813
B 0.552 0.000 0.466
B 0.624 0.000 0.679
B 0.552 0.500 0.966
P 0.882 0.500 0.894
P 0.383 0.000 0.830
P 0.882 0.000 0.394
P 0.383 0.500 0.330